(1)
The following is a DFT calculation (PBE) of a relaxed CsNpTa2O8 crystal.

Lattice parameters (Å, degrees): 6.108 6.108 8.500 90.00 90.00 120.00
Fractional positions:
Ta 0.333 0.667 0.719
Ta 0.667 0.333 0.281
O 0.675 0.838 0.649
O 0.838 0.163 0.351
O 0.837 0.675 0.351
O 0.333 0.667 0.928
O 0.667 0.333 0.072
O 0.325 0.162 0.351
O 0.162 0.837 0.649
O 0.163 0.325 0.649
Np 0.000 0.000 0.500
Cs 0.000 0.000 0.000

Calculated values
The calculation puts the uncorrected formation energy at -2689 meV/atom.

(2)
The following is a DFT calculation (PBE) of a relaxed CePaNi2 crystal.

Lattice parameters (Å, degrees): 4.762 4.762 4.762 60.00 60.00 60.00
Fractional positions:
Ni 0.250 0.250 0.250
Ni 0.750 0.750 0.750
Pa 0.000 0.000 0.000
Ce 0.500 0.500 0.500

Calculated values
As for the energy above the lowest structure with this stoichiometry: 6.3 kJ/mol of atoms. The formation energy is -164 meV per atom.

(3)
The following is a DFT calculation (PBE) of a relaxed TlHg2Ge crystal.

Lattice parameters (Å, degrees): 3.563 3.563 8.039 90.00 90.00 90.00
Fractional positions:
Hg 0.000 0.000 0.213
Hg 0.000 0.000 0.787
Tl 0.500 0.500 0.500
Ge 0.500 0.500 0.000

Calculated values
The formation energy is 176 meV per atom.

(4)
The following is a DFT calculation (PBE) of a relaxed MgNb2HgH crystal.

Lattice parameters (Å, degrees): 4.035 4.035 4.747 90.00 90.00 90.00
Fractional positions:
Mg 0.000 0.000 0.500
H 0.000 0.000 0.000
Hg 0.500 0.500 0.500
Nb 0.500 0.000 0.000
Nb 0.000 0.500 0.000

(5)
The following is a DFT calculation (PBE) of a relaxed Sm4Er3Tm3 crystal.

Lattice parameters (Å, degrees): 3.757 9.213 9.213 89.98 90.00 90.00
Fractional positions:
Tm 0.500 0.669 0.668
Tm 0.500 0.831 0.169
Tm 0.500 0.332 0.331
Sm 0.000 0.869 0.870
Sm 0.000 0.370 0.630
Sm 0.000 0.631 0.369
Sm 0.000 0.130 0.131
Er 0.000 0.000 0.500
Er 0.500 0.169 0.831
Er 0.000 0.500 0.000

Calculated values
The formation energy is 100 meV per atom.

(6)
The following is a DFT calculation (PBE) of a relaxed LaNdUO6 crystal.

Lattice parameters (Å, degrees): 5.995 5.995 9.677 90.00 90.00 120.00
Fractional positions:
O 0.667 0.035 0.364
O 0.667 0.632 0.136
O 0.333 0.368 0.864
O 0.368 0.035 0.136
O 0.965 0.333 0.136
O 0.333 0.965 0.636
O 0.632 0.965 0.864
O 0.035 0.667 0.864
O 0.965 0.632 0.364
O 0.632 0.667 0.636
O 0.035 0.368 0.636
O 0.368 0.333 0.364
La 0.000 0.000 0.500
La 0.000 0.000 0.000
U 0.333 0.667 0.750
U 0.667 0.333 0.250
Nd 0.333 0.667 0.250
Nd 0.667 0.333 0.750

Calculated values
The calculation puts the uncorrected formation energy at -3304 meV/atom.

(7)
The following is a DFT calculation (PBE) of a relaxed KFeSi2Pb crystal.

Lattice parameters (Å, degrees): 5.150 4.427 5.150 90.00 90.00 90.00
Fractional positions:
Pb 0.500 0.500 0.500
K 0.000 0.000 0.000
Si 0.500 0.000 0.000
Si 0.000 0.000 0.500
Fe 0.000 0.500 0.000

Calculated values
The calculation puts the uncorrected formation energy at 2163 meV/atom.

(8)
The following is a DFT calculation (PBE) of a relaxed Tc3PtCl crystal.

Lattice parameters (Å, degrees): 5.043 5.043 5.043 90.00 90.00 90.00
Fractional positions:
Tc 0.000 0.000 0.500
Tc 0.000 0.500 0.000
Tc 0.500 0.000 0.000
Pt 0.000 0.000 0.000
Cl 0.500 0.500 0.500

Calculated values
As for the energy above the lowest structure with this stoichiometry: 90.1 kJ/mol of atoms. The calculation puts the uncorrected formation energy at 1943 meV/atom.

What energy values result from the calculations? In sequence: -109.44 -27.65 -6.88 -25.53 -44.98 -80.46 -13.30 -29.27 eV/f.u..